No. 1
Computed, not measured: a relaxed ReHg2Bi crystal at the GGA-PBE level of DFT.

Cell: 5.0150 5.0150 5.0150 Å, 60.00 60.00 60.00°
Closest atoms and distances in Å follow each position.
Fractional positions:
Bi: 0.5000 0.5000 0.5000  4 Hg 3.07, 4 Re 3.07
Hg: 0.0000 0.0000 0.0000  4 Hg 3.07, 4 Re 3.07
Hg: 0.7500 0.7500 0.7500  4 Hg 3.07, 4 Bi 3.07
Re: 0.2500 0.2500 0.2500  4 Bi 3.07, 4 Hg 3.07

Symmetry = No. 216
Calculated volume = 89.2 Å³ per cell
Total DFT energy (no corrections) = -3.207 eV per atom
Spin magnetization = 0.39 μB/atom


No. 2
Computed, not measured: a relaxed Re2HgBi crystal at the GGA-PBE level of DFT.

Cell: 4.7725 4.7725 4.7725 Å, 60.00 60.00 60.00°
Closest atoms and distances in Å follow each position.
Fractional positions:
Bi: 0.5000 0.5000 0.5000  4 Re 2.92, 4 Hg 2.92
Hg: 0.2500 0.2500 0.2500  4 Bi 2.92, 4 Re 2.92
Re: 0.0000 0.0000 0.0000  4 Re 2.92, 4 Hg 2.92
Re: 0.7500 0.7500 0.7500  4 Bi 2.92, 4 Re 2.92

Symmetry = No. 216
Calculated volume = 76.9 Å³ per cell
Total DFT energy (no corrections) = -6.106 eV per atom
Spin magnetization = 0.00 μB/atom